No. 1
A plane-wave DFT calculation with PBE-GGA was carried out for a geometry-optimized CsBiAu structure.

## Properties
E_tot   -1.9863 eV/atom
Theoretical density   6654 kg/m3
Distance to the lowest polymorph of the same formula   0.415 eV per atom
Symmetry   F-43m, No. 216

a = 8.1327 Å, b = 8.1327 Å, c = 8.1327 Å
α = 90.00°, β = 90.00°, γ = 90.00°
Last column: nearest neighbours and their distance in Å.
Element x y z (fractional)
Cs1 0.0000 0.0000 0.0000  4 Bi 3.52, 4 Au 3.52
Cs2 0.0000 0.5000 0.5000  4 Bi 3.52, 4 Au 3.52
Cs3 0.5000 0.0000 0.5000  4 Bi 3.52, 4 Au 3.52
Cs4 0.5000 0.5000 0.0000  4 Bi 3.52, 4 Au 3.52
Bi1 0.2500 0.2500 0.2500  4 Cs 3.52
Bi2 0.2500 0.7500 0.7500  4 Cs 3.52
Bi3 0.7500 0.2500 0.7500  4 Cs 3.52
Bi4 0.7500 0.7500 0.2500  4 Cs 3.52
Au1 0.2500 0.2500 0.7500  4 Cs 3.52
Au2 0.2500 0.7500 0.2500  4 Cs 3.52
Au3 0.7500 0.2500 0.2500  4 Cs 3.52
Au4 0.7500 0.7500 0.7500  4 Cs 3.52

=====

No. 2
A plane-wave DFT calculation with PBE-GGA was carried out for a geometry-optimized CsCuBiAu structure.

## Properties
E_tot   -2.4243 eV/atom
Theoretical density   9095 kg/m3
Distance to the lowest polymorph of the same formula   0.177 eV per atom
Symmetry   F-43m, No. 216

a = 7.6057 Å, b = 7.6057 Å, c = 7.6057 Å
α = 90.00°, β = 90.00°, γ = 90.00°
Last column: nearest neighbours and their distance in Å.
Element x y z (fractional)
Cs1 0.0000 0.0000 0.0000  4 Bi 3.29, 4 Cu 3.29
Cs2 0.0000 0.5000 0.5000  4 Bi 3.29, 4 Cu 3.29
Cs3 0.5000 0.0000 0.5000  4 Bi 3.29, 4 Cu 3.29
Cs4 0.5000 0.5000 0.0000  4 Bi 3.29, 4 Cu 3.29
Cu1 0.2500 0.2500 0.2500  4 Cs 3.29, 4 Au 3.29
Cu2 0.2500 0.7500 0.7500  4 Cs 3.29, 4 Au 3.29
Cu3 0.7500 0.2500 0.7500  4 Cs 3.29, 4 Au 3.29
Cu4 0.7500 0.7500 0.2500  4 Cs 3.29, 4 Au 3.29
Bi1 0.2500 0.2500 0.7500  4 Cs 3.29, 4 Au 3.29
Bi2 0.2500 0.7500 0.2500  4 Cs 3.29, 4 Au 3.29
Bi3 0.7500 0.2500 0.2500  4 Cs 3.29, 4 Au 3.29
Bi4 0.7500 0.7500 0.7500  4 Cs 3.29, 4 Au 3.29
Au1 0.0000 0.0000 0.5000  4 Bi 3.29, 4 Cu 3.29
Au2 0.0000 0.5000 0.0000  4 Bi 3.29, 4 Cu 3.29
Au3 0.5000 0.0000 0.0000  4 Bi 3.29, 4 Cu 3.29
Au4 0.5000 0.5000 0.5000  4 Cu 3.29, 4 Bi 3.29

=====

Number 1: volume 44.83 Å³ per atom. Number 2: volume 27.50 Å³ per atom.